Record 1
This record from Alexandria via LeMat-Bulk describes crystalline Ca4Ni2F at its relaxed geometry. The functional is GGA+U.

Unit cell a=8.130 b=8.130 c=8.130 alpha=146.76 beta=146.76 gamma=47.72
Sites, in units of the cell vectors:
Ca (0.000, 0.500, 0.500)
Ca (0.192, 0.192, 0.000)
Ca (0.500, 0.000, 0.500)
Ca (0.808, 0.808, 0.000)
Ni (0.379, 0.379, 0.000)
Ni (0.621, 0.621, 0.000)
F (0.000, 0.000, 0.000)

Properties
The size of the total moment is 0.0 μB per formula unit. Its symmetry is I4/mmm (139).



Record 2
This record from Alexandria via LeMat-Bulk describes crystalline Ca2NiF at its relaxed geometry. The functional is GGA+U.

Unit cell a=4.786 b=4.786 c=4.786 alpha=60.00 beta=60.00 gamma=60.00
Sites, in units of the cell vectors:
Ca (0.250, 0.250, 0.250)
Ca (0.750, 0.750, 0.750)
Ni (0.000, 0.000, 0.000)
F (0.500, 0.500, 0.500)

Properties
The size of the total moment is 0.0 μB per formula unit. Its symmetry is Fm-3m (225).



Record 3
This record from Alexandria via LeMat-Bulk describes crystalline CaNiF2 at its relaxed geometry. The functional is GGA+U.

Unit cell a=4.109 b=4.109 c=4.109 alpha=60.00 beta=60.00 gamma=60.00
Sites, in units of the cell vectors:
Ca (0.000, 0.000, 0.000)
Ni (0.500, 0.500, 0.500)
F (0.250, 0.250, 0.250)
F (0.750, 0.750, 0.750)

Properties
The size of the total moment is 0.1 μB per formula unit. Its symmetry is Fm-3m (225).



Asked for final energy across the records above, the calculation gives -0.184 -0.201 -0.264 Ry/atom in order.